Here is a geometry-optimized Mn5CrH4 structure from the Alexandria database. Energies are from PBE.

Unit cell a=2.5801 b=5.2054 c=5.8609 alpha=102.98 beta=102.71 gamma=90.11
With the nearest neighbours (Å) after each atom.
Atoms (fractional coordinates):
Mn  0.0000  0.0000  0.0000  4 H 1.81-1.82
Mn  0.3312  0.1558  0.6638  3 H 1.88-1.90
Mn  0.3338  0.6853  0.6656  4 H 1.84-1.87
Mn  0.6662  0.3147  0.3344  4 H 1.84-1.87
Mn  0.6688  0.8442  0.3362  3 H 1.88-1.90
Cr  0.0000  0.5000  0.0000  6 H 1.85-1.87
H  0.1675  0.5757  0.3354  5 Mn 1.84-1.90, 1 Cr 1.87
H  0.4994  0.7543  0.9988  4 Mn 1.81-1.88, 2 Cr 1.85
H  0.5006  0.2457  0.0012  4 Mn 1.81-1.88, 2 Cr 1.85
H  0.8325  0.4243  0.6646  5 Mn 1.84-1.90, 1 Cr 1.87

The magnetization comes out at 0.00 μB/atom. Its density of states at the Fermi level is 9.2 states/eV/f.u. The value obtained for the uncorrected energy is -6.888 eV/atom.

=====

Here is a geometry-optimized Mn5Cr2H2 structure from the Alexandria database. Energies are from PBE.

Unit cell a=4.4564 b=4.4564 c=5.6413 alpha=96.74 beta=96.74 gamma=47.63
With the nearest neighbours (Å) after each atom.
Atoms (fractional coordinates):
Mn  0.0000  0.0000  0.0000  2 H 1.83
Mn  0.1436  0.1436  0.4411  1 H 1.84
Mn  0.2872  0.2872  0.8489  3 H 1.80-1.84
Mn  0.7128  0.7128  0.1511  3 H 1.80-1.84
Mn  0.8564  0.8564  0.5589  1 H 1.84
Cr  0.4334  0.4334  0.2878  1 H 1.86
Cr  0.5666  0.5666  0.7122  1 H 1.86
H  0.2148  0.2148  0.1446  5 Mn 1.80-1.84, 1 Cr 1.86
H  0.7852  0.7852  0.8554  5 Mn 1.80-1.84, 1 Cr 1.86

The magnetization comes out at 0.03 μB/atom. Its density of states at the Fermi level is 9.2 states/eV/f.u. The value obtained for the uncorrected energy is -7.902 eV/atom.

=====

Here is a geometry-optimized MnCrH2 structure from the Alexandria database. Energies are from PBE.

Unit cell a=4.8892 b=4.8892 c=4.8892 alpha=31.05 beta=31.05 gamma=31.05
With the nearest neighbours (Å) after each atom.
Atoms (fractional coordinates):
Mn  0.0000  0.0000  0.0000  6 H 1.87-1.91
Cr  0.1706  0.1706  0.1706  6 H 1.91-1.94
H  0.4166  0.4166  0.4166  3 Mn 1.91, 3 Cr 1.94
H  0.5882  0.5882  0.5882  3 Mn 1.87, 3 Cr 1.91

The magnetization comes out at 0.32 μB/atom. Its density of states at the Fermi level is 2.9 states/eV/f.u. The value obtained for the uncorrected energy is -6.193 eV/atom. The value obtained for the energy above the lowest structure with this stoichiometry is 264 meV/atom.

=====

Here is a geometry-optimized Mn3CrH structure from the Alexandria database. Energies are from PBE.

Unit cell a=4.4636 b=4.4636 c=4.4636 alpha=90.00 beta=90.00 gamma=90.00
With the nearest neighbours (Å) after each atom.
Atoms (fractional coordinates):
Mn  0.0000  0.0000  0.5000  2 Cr 2.23
Mn  0.0000  0.5000  0.0000  2 Cr 2.23
Mn  0.5000  0.0000  0.0000  2 Cr 2.23
Cr  0.0000  0.0000  0.0000  6 Mn 2.23
H  0.5000  0.5000  0.5000  12 Mn 3.16

The magnetization comes out at 1.53 μB/atom. Its density of states at the Fermi level is 4.8 states/eV/f.u. The value obtained for the uncorrected energy is -6.561 eV/atom. The value obtained for the energy above the lowest structure with this stoichiometry is 1474 meV/atom.

=====

Here is a geometry-optimized Mn5CrH6 structure from the Alexandria database. Energies are from PBE.

Unit cell a=4.5598 b=4.5598 c=4.6008 alpha=99.53 beta=99.53 gamma=119.90
With the nearest neighbours (Å) after each atom.
Atoms (fractional coordinates):
Mn  0.0000  0.0000  0.0000  6 H 1.85
Mn  0.1666  0.8334  0.5000  6 H 1.88-1.89
Mn  0.3331  0.6669  0.0000  6 H 1.86
Mn  0.6669  0.3331  0.0000  6 H 1.86
Mn  0.8334  0.1666  0.5000  6 H 1.88-1.89
Cr  0.5000  0.5000  0.5000  6 H 1.87-1.89
H  0.0831  0.4138  0.2446  5 Mn 1.85-1.89, 1 Cr 1.87
H  0.2513  0.2513  0.7555  5 Mn 1.85-1.88, 1 Cr 1.89
H  0.4138  0.0831  0.2446  5 Mn 1.85-1.89, 1 Cr 1.87
H  0.5862  0.9169  0.7554  5 Mn 1.85-1.89, 1 Cr 1.87
H  0.7487  0.7487  0.2445  5 Mn 1.85-1.88, 1 Cr 1.89
H  0.9169  0.5862  0.7554  5 Mn 1.85-1.89, 1 Cr 1.87

The magnetization comes out at 0.04 μB/atom. Its density of states at the Fermi level is 7.3 states/eV/f.u. The value obtained for the uncorrected energy is -6.347 eV/atom.

=====

Here is a geometry-optimized Mn3Cr2H4 structure from the Alexandria database. Energies are from PBE.

Unit cell a=2.6163 b=2.6163 c=10.5775 alpha=90.00 beta=90.00 gamma=120.00
With the nearest neighbours (Å) after each atom.
Atoms (fractional coordinates):
Mn  0.0000  0.0000  0.0000  6 H 1.84
Mn  0.3333  0.6667  0.5889  3 H 1.85
Mn  0.6667  0.3333  0.4111  3 H 1.85
Cr  0.3333  0.6667  0.2037  6 H 1.87-1.88
Cr  0.6667  0.3333  0.7963  6 H 1.87-1.88
H  0.0000  0.0000  0.3101  3 Mn 1.85, 3 Cr 1.88
H  0.0000  0.0000  0.6899  3 Mn 1.85, 3 Cr 1.88
H  0.3333  0.6667  0.9010  3 Mn 1.84, 3 Cr 1.87
H  0.6667  0.3333  0.0990  3 Mn 1.84, 3 Cr 1.87

The magnetization comes out at 0.00 μB/atom. Its density of states at the Fermi level is 6.4 states/eV/f.u. The value obtained for the uncorrected energy is -6.715 eV/atom.

=====

Here is a geometry-optimized MnCrH2 structure from the Alexandria database. Energies are from PBE.

Unit cell a=4.7758 b=5.5189 c=4.4105 alpha=90.00 beta=90.00 gamma=90.00
With the nearest neighbours (Å) after each atom.
Atoms (fractional coordinates):
Mn  0.0847  0.1241  0.0000  4 H 1.65-1.67
Mn  0.4153  0.6241  0.5000  4 H 1.65-1.67
Mn  0.5847  0.3759  0.0000  4 H 1.65-1.67
Mn  0.9153  0.8759  0.5000  4 H 1.65-1.67
Cr  0.0850  0.6247  0.0020  4 H 1.69-1.71
Cr  0.4150  0.1247  0.5020  4 H 1.69-1.71
Cr  0.5850  0.8753  0.0020  4 H 1.69-1.71
Cr  0.9150  0.3753  0.5020  4 H 1.69-1.71
H  0.0790  0.1210  0.3731  2 Mn 1.65-1.66, 2 Cr 1.70-1.71
H  0.0844  0.6283  0.3852  2 Mn 1.66-1.67, 2 Cr 1.69
H  0.4156  0.1283  0.8852  2 Mn 1.66-1.67, 2 Cr 1.69
H  0.4210  0.6210  0.8731  2 Mn 1.65-1.66, 2 Cr 1.70-1.71
H  0.5790  0.3790  0.3731  2 Mn 1.65-1.66, 2 Cr 1.70-1.71
H  0.5844  0.8717  0.3852  2 Mn 1.66-1.67, 2 Cr 1.69
H  0.9156  0.3717  0.8852  2 Mn 1.66-1.67, 2 Cr 1.69
H  0.9210  0.8790  0.8731  2 Mn 1.65-1.66, 2 Cr 1.70-1.71

The magnetization comes out at 0.09 μB/atom. Its density of states at the Fermi level is 2.7 states/eV/f.u. The value obtained for the uncorrected energy is -6.254 eV/atom. The value obtained for the energy above the lowest structure with this stoichiometry is 203 meV/atom.

=====

Here is a geometry-optimized MnCr2MoH structure from the Alexandria database. Energies are from PBE.

Unit cell a=4.0291 b=4.0291 c=3.2899 alpha=90.00 beta=90.00 gamma=90.00
With the nearest neighbours (Å) after each atom.
Atoms (fractional coordinates):
Mn  0.0000  0.0000  0.0000  2 H 1.64
Cr  0.0000  0.5000  0.5000  2 H 2.01
Cr  0.5000  0.0000  0.5000  2 H 2.01
Mo  0.5000  0.5000  0.0000  8 Cr 2.60, 4 Mn 2.85
H  0.0000  0.0000  0.5000  2 Mn 1.64

The magnetization comes out at 0.44 μB/atom. Its density of states at the Fermi level is 5.3 states/eV/f.u. The value obtained for the uncorrected energy is -8.370 eV/atom.

=====

Here is a geometry-optimized Mn2CrMoH structure from the Alexandria database. Energies are from PBE.

Unit cell a=3.6275 b=3.6275 c=4.0609 alpha=90.00 beta=90.00 gamma=90.00
With the nearest neighbours (Å) after each atom.
Atoms (fractional coordinates):
Mn  0.0000  0.5000  0.0000  2 H 1.81
Mn  0.5000  0.0000  0.0000  2 H 1.81
Cr  0.0000  0.0000  0.5000  4 Mo 2.57, 8 Mn 2.72
Mo  0.5000  0.5000  0.5000  2 H 2.03
H  0.5000  0.5000  0.0000  4 Mn 1.81, 2 Mo 2.03

The magnetization comes out at 0.63 μB/atom. Its density of states at the Fermi level is 3.3 states/eV/f.u. The value obtained for the uncorrected energy is -8.291 eV/atom. The value obtained for the energy above the lowest structure with this stoichiometry is 22 meV/atom.

=====

Here is a geometry-optimized Mn2CrMoH structure from the Alexandria database. Energies are from PBE.

Unit cell a=3.6795 b=3.6795 c=3.8670 alpha=90.00 beta=90.00 gamma=90.00
With the nearest neighbours (Å) after each atom.
Atoms (fractional coordinates):
Mn  0.0000  0.5000  0.0000  2 H 1.84
Mn  0.5000  0.0000  0.0000  2 H 1.84
Cr  0.0000  0.0000  0.5000  2 H 1.93
Mo  0.5000  0.5000  0.5000  4 Cr 2.60, 8 Mn 2.67
H  0.0000  0.0000  0.0000  4 Mn 1.84, 2 Cr 1.93

The magnetization comes out at 0.50 μB/atom. Its density of states at the Fermi level is 4.8 states/eV/f.u. The value obtained for the uncorrected energy is -8.313 eV/atom. The value obtained for the energy above the lowest structure with this stoichiometry is 0 meV/atom.

=====

Here is a geometry-optimized MnCrH2N structure from the Alexandria database. Energies are from PBE.

Unit cell a=3.1539 b=3.1539 c=3.9147 alpha=90.00 beta=90.00 gamma=90.00
With the nearest neighbours (Å) after each atom.
Atoms (fractional coordinates):
Mn  0.0000  0.0000  0.0000  2 N 1.96
Cr  0.5000  0.5000  0.0000  4 Mn 2.23
H  0.0000  0.5000  0.5000  2 N 1.58
H  0.5000  0.0000  0.5000  2 N 1.58
N  0.0000  0.0000  0.5000  4 H 1.58

The magnetization comes out at 0.00 μB/atom. Its density of states at the Fermi level is 3.1 states/eV/f.u. The value obtained for the uncorrected energy is -5.665 eV/atom.

=====

Here is a geometry-optimized Mn2NbCrH structure from the Alexandria database. Energies are from PBE.

Unit cell a=3.6929 b=3.6929 c=4.0719 alpha=90.00 beta=90.00 gamma=90.00
With the nearest neighbours (Å) after each atom.
Atoms (fractional coordinates):
Mn  0.0000  0.5000  0.0000  2 H 1.85
Mn  0.5000  0.0000  0.0000  2 H 1.85
Nb  0.0000  0.0000  0.5000  4 Cr 2.61, 8 Mn 2.75
Cr  0.5000  0.5000  0.5000  2 H 2.04
H  0.5000  0.5000  0.0000  4 Mn 1.85, 2 Cr 2.04

The magnetization comes out at 0.63 μB/atom. Its density of states at the Fermi level is 4.9 states/eV/f.u. The value obtained for the uncorrected energy is -8.168 eV/atom.

=====

The lowest uncorrected energy belongs to which entry?
MnCr2MoH